Entry 1:
Y2AsS after structural relaxation, computed with GGA-PBE.

Values from the calculation:
The total energy is -6.756 eV per atom. For the total magnetization, the calculation gives 0.0 μB per cell. The calculation puts the density of states at the Fermi level at 9.52 states/eV per cell. As for the crystal system: tetragonal. The value obtained for the formation energy from raw total energies is -5.3 eV per formula unit.

abc: 6.271 6.271 12.693
angles: 90.00 90.00 90.00
Atoms (fractional coordinates):
1 Y 0.240 0.250 0.125
2 Y 0.250 0.740 0.375
3 Y 0.250 0.760 0.875
4 Y 0.260 0.250 0.625
5 Y 0.740 0.750 0.625
6 Y 0.750 0.240 0.875
7 Y 0.750 0.260 0.375
8 Y 0.760 0.750 0.125
9 As 0.000 0.000 0.500
10 As 0.000 0.500 0.750
11 As 0.500 0.000 0.250
12 As 0.500 0.500 0.000
13 S 0.000 0.000 0.000
14 S 0.000 0.500 0.250
15 S 0.500 0.000 0.750
16 S 0.500 0.500 0.500



Entry 2:
YErNiIr after structural relaxation, computed with GGA-PBE.

Values from the calculation:
The energy of formation is -658 meV per atom. The total energy is -7.075 eV per atom. For the total magnetization, the calculation gives 0.0 μB per cell. The calculation puts the density of states at the Fermi level at 7.66 states/eV per cell. As for the crystal system: cubic.

abc: 6.796 6.796 6.796
angles: 90.00 90.00 90.00
Atoms (fractional coordinates):
1 Y 0.000 0.000 0.000
2 Y 0.000 0.500 0.500
3 Y 0.500 0.000 0.500
4 Y 0.500 0.500 0.000
5 Er 0.000 0.000 0.500
6 Er 0.000 0.500 0.000
7 Er 0.500 0.000 0.000
8 Er 0.500 0.500 0.500
9 Ni 0.250 0.250 0.750
10 Ni 0.250 0.750 0.250
11 Ni 0.750 0.250 0.250
12 Ni 0.750 0.750 0.750
13 Ir 0.250 0.250 0.250
14 Ir 0.250 0.750 0.750
15 Ir 0.750 0.250 0.750
16 Ir 0.750 0.750 0.250



Entry 3:
CrInW3 after structural relaxation, computed with GGA-PBE.

Values from the calculation:
The energy of formation is 1396 meV per atom. The total energy is -8.848 eV per atom. For the total magnetization, the calculation gives 0.0 μB per cell. The calculation puts the density of states at the Fermi level at 4.23 states/eV per cell. As for the crystal system: cubic.

abc: 4.551 4.551 4.551
angles: 90.00 90.00 90.00
Atoms (fractional coordinates):
1 Cr 0.000 0.000 0.000
2 In 0.500 0.500 0.500
3 W 0.000 0.000 0.500
4 W 0.000 0.500 0.000
5 W 0.500 0.000 0.000



Entry 4:
Dy6HoTl5 after structural relaxation, computed with GGA-PBE.

Values from the calculation:
The energy of formation is -272 meV per atom. The total energy is -3.941 eV per atom. For the total magnetization, the calculation gives 0.0 μB per cell. The calculation puts the density of states at the Fermi level at 12.65 states/eV per cell. As for the crystal system: orthorhombic.

abc: 9.128 9.128 9.128
angles: 148.21 122.22 67.47
Atoms (fractional coordinates):
1 Dy 0.066 0.330 0.736
2 Dy 0.227 0.000 0.227
3 Dy 0.406 0.670 0.736
4 Dy 0.594 0.330 0.264
5 Dy 0.773 0.000 0.773
6 Dy 0.934 0.670 0.264
7 Ho 0.500 0.500 0.000
8 Tl 0.000 0.500 0.500
9 Tl 0.179 0.179 0.000
10 Tl 0.353 0.853 0.500
11 Tl 0.647 0.147 0.500
12 Tl 0.821 0.821 0.000



Entry 5:
Sm2HgAs after structural relaxation, computed with GGA-PBE.

Values from the calculation:
The energy of formation is -933 meV per atom. The total energy is -4.531 eV per atom. For the total magnetization, the calculation gives 0.0 μB per cell. The calculation puts the density of states at the Fermi level at 12.77 states/eV per cell. As for the crystal system: trigonal.

abc: 4.146 4.146 22.950
angles: 90.00 90.00 120.00
Atoms (fractional coordinates):
1 Sm 0.000 0.000 0.239
2 Sm 0.000 0.000 0.761
3 Sm 0.333 0.667 0.427
4 Sm 0.333 0.667 0.906
5 Sm 0.667 0.333 0.094
6 Sm 0.667 0.333 0.573
7 Hg 0.000 0.000 0.000
8 Hg 0.333 0.667 0.667
9 Hg 0.667 0.333 0.333
10 As 0.000 0.000 0.500
11 As 0.333 0.667 0.167
12 As 0.667 0.333 0.833



Entry 6:
Pm3Pr3DySe8 after structural relaxation, computed with GGA-PBE.

Values from the calculation:
The total energy is -5.948 eV per atom. For the total magnetization, the calculation gives 0.0 μB per cell. The calculation puts the density of states at the Fermi level at 7.09 states/eV per cell. As for the crystal system: trigonal. The value obtained for the formation energy from raw total energies is -28.2 eV per formula unit.

abc: 8.437 8.437 8.437
angles: 59.76 59.76 59.76
Atoms (fractional coordinates):
1 Pm 0.000 0.500 0.500
2 Pm 0.500 0.000 0.500
3 Pm 0.500 0.500 0.000
4 Pr 0.000 0.000 0.500
5 Pr 0.000 0.500 0.000
6 Pr 0.500 0.000 0.000
7 Dy 0.000 0.000 0.000
8 Se 0.246 0.246 0.750
9 Se 0.246 0.750 0.246
10 Se 0.250 0.754 0.754
11 Se 0.252 0.252 0.252
12 Se 0.748 0.748 0.748
13 Se 0.750 0.246 0.246
14 Se 0.754 0.250 0.754
15 Se 0.754 0.754 0.250